Below is a relaxed structure of Dy3BeSi2Pt9, with properties calculated at the PBE level.

a b c (Å): 6.3865 6.3865 8.0429
angles (deg): 90.00 90.00 120.00
Element x y z (fractional)
Dy 0.3333 0.6667 0.6677
Dy 0.0000 0.0000 0.0000
Dy 0.6667 0.3333 0.3323
Be 0.0000 0.0000 0.5000
Si 0.3333 0.6667 0.1972
Si 0.6667 0.3333 0.8028
Pt 0.8570 0.1430 0.6983
Pt 0.8570 0.7141 0.6983
Pt 0.2859 0.1430 0.6983
Pt 0.7141 0.8570 0.3017
Pt 0.1430 0.2859 0.3017
Pt 0.1430 0.8570 0.3017
Pt 0.5000 0.0000 0.0000
Pt 0.0000 0.5000 0.0000
Pt 0.5000 0.5000 0.0000

Summary:
* DFT total energy: -6.28 eV/atom
* total moment: 0.0 Bohr magnetons per cell
* ΔE_f (raw): -0.764 eV/atom

***

Below is a relaxed structure of Dy2Be4SiPt3, with properties calculated at the PBE level.

a b c (Å): 3.8580 3.8580 10.1506
angles (deg): 90.00 90.00 90.00
Element x y z (fractional)
Dy 0.5000 0.0000 0.2505
Dy 0.0000 0.5000 0.7495
Be 0.5000 0.5000 0.0000
Be 0.0000 0.0000 0.0000
Be 0.5000 0.0000 0.6365
Be 0.0000 0.5000 0.3635
Si 0.5000 0.5000 0.5000
Pt 0.0000 0.0000 0.5000
Pt 0.5000 0.0000 0.8731
Pt 0.0000 0.5000 0.1269

Summary:
* DFT total energy: -5.55 eV/atom
* total moment: 0.0 Bohr magnetons per cell
* ΔE_f (raw): -0.785 eV/atom

***

Below is a relaxed structure of Dy3Be2SiPt9, with properties calculated at the PBE level.

a b c (Å): 5.7465 5.7465 9.2500
angles (deg): 90.00 90.00 120.00
Element x y z (fractional)
Dy 0.3333 0.6667 0.6063
Dy 0.0000 0.0000 0.0000
Dy 0.6667 0.3333 0.3937
Be 0.3333 0.6667 0.1534
Be 0.6667 0.3333 0.8466
Si 0.0000 0.0000 0.5000
Pt 0.8361 0.1639 0.6935
Pt 0.8361 0.6722 0.6935
Pt 0.3278 0.1639 0.6935
Pt 0.6722 0.8361 0.3065
Pt 0.1639 0.3278 0.3065
Pt 0.1639 0.8361 0.3065
Pt 0.5000 0.0000 0.0000
Pt 0.0000 0.5000 0.0000
Pt 0.5000 0.5000 0.0000

Summary:
* DFT total energy: -6.30 eV/atom
* total moment: 0.0 Bohr magnetons per cell
* ΔE_f (raw): -0.892 eV/atom

***

Below is a relaxed structure of Dy2Be3Si4Pt, with properties calculated at the PBE level.

a b c (Å): 3.9286 3.9286 9.8032
angles (deg): 90.00 90.00 90.00
Element x y z (fractional)
Dy 0.5000 0.0000 0.2434
Dy 0.0000 0.5000 0.7566
Be 0.0000 0.0000 0.5000
Be 0.5000 0.0000 0.8698
Be 0.0000 0.5000 0.1302
Si 0.5000 0.5000 0.0000
Si 0.0000 0.0000 0.0000
Si 0.5000 0.0000 0.6427
Si 0.0000 0.5000 0.3573
Pt 0.5000 0.5000 0.5000

Summary:
* DFT total energy: -5.38 eV/atom
* total moment: 0.0 Bohr magnetons per cell
* ΔE_f (raw): -0.570 eV/atom

***

Below is a relaxed structure of DyTh2Be2Pt7, with properties calculated at the PBE level.

a b c (Å): 4.0521 4.0521 13.4488
angles (deg): 83.70 83.70 89.66
Element x y z (fractional)
Dy 0.0000 0.0000 0.0000
Th 0.8844 0.8844 0.3457
Th 0.1156 0.1156 0.6543
Be 0.5909 0.5909 0.7508
Be 0.4091 0.4091 0.2492
Pt 0.5000 0.5000 0.0000
Pt 0.3598 0.3598 0.4241
Pt 0.6402 0.6402 0.5759
Pt 0.9406 0.4411 0.1643
Pt 0.4411 0.9406 0.1643
Pt 0.5589 0.0594 0.8357
Pt 0.0594 0.5589 0.8357

Summary:
* DFT total energy: -6.84 eV/atom
* total moment: 0.0 Bohr magnetons per cell
* calculated formation energy: -1.079 eV per atom

***

Below is a relaxed structure of Dy2TiBe3Pt4, with properties calculated at the PBE level.

a b c (Å): 3.9953 3.9953 10.2642
angles (deg): 90.00 90.00 90.00
Element x y z (fractional)
Dy 0.5000 0.0000 0.2356
Dy 0.0000 0.5000 0.7644
Ti 0.5000 0.5000 0.5000
Be 0.0000 0.0000 0.5000
Be 0.5000 0.0000 0.8823
Be 0.0000 0.5000 0.1177
Pt 0.5000 0.5000 0.0000
Pt 0.0000 0.0000 0.0000
Pt 0.5000 0.0000 0.6516
Pt 0.0000 0.5000 0.3484

Summary:
* DFT total energy: -6.15 eV/atom
* total moment: 0.0 Bohr magnetons per cell
* calculated formation energy: -0.901 eV per atom

***

Below is a relaxed structure of DyTiBe2Pt5, with properties calculated at the PBE level.

a b c (Å): 4.3942 4.3942 7.2730
angles (deg): 90.00 90.00 90.00
Element x y z (fractional)
Dy 0.0000 0.0000 0.5000
Ti 0.0000 0.0000 0.0000
Be 0.5000 0.5000 0.1606
Be 0.5000 0.5000 0.8394
Pt 0.0000 0.5000 0.2167
Pt 0.5000 0.0000 0.2167
Pt 0.0000 0.5000 0.7833
Pt 0.5000 0.0000 0.7833
Pt 0.5000 0.5000 0.5000

Summary:
* DFT total energy: -6.31 eV/atom
* total moment: 0.0 Bohr magnetons per cell
* calculated formation energy: -0.742 eV per atom

***

Below is a relaxed structure of Dy2BeZnPt2, with properties calculated at the PBE level.

a b c (Å): 5.8591 5.7171 7.9319
angles (deg): 111.12 111.67 90.00
Element x y z (fractional)
Dy 0.4082 0.1682 0.3364
Dy 0.5918 0.8318 0.6636
Dy 0.0718 0.3318 0.6636
Dy 0.9282 0.6682 0.3364
Be 0.5000 0.7500 0.0000
Be 0.5000 0.2500 0.0000
Zn 0.0000 0.7500 0.0000
Zn 0.0000 0.2500 0.0000
Pt 0.8296 0.1110 0.2221
Pt 0.3924 0.6110 0.2221
Pt 0.6076 0.3890 0.7779
Pt 0.1704 0.8890 0.7779

Summary:
* DFT total energy: -5.25 eV/atom
* total moment: 0.0 Bohr magnetons per cell
* calculated formation energy: -0.869 eV per atom

***

Below is a relaxed structure of Dy2Be4ZnPt3, with properties calculated at the PBE level.

a b c (Å): 3.9683 3.9683 9.7341
angles (deg): 90.00 90.00 90.00
Element x y z (fractional)
Dy 0.5000 0.0000 0.2468
Dy 0.0000 0.5000 0.7532
Be 0.5000 0.5000 0.0000
Be 0.0000 0.0000 0.0000
Be 0.5000 0.0000 0.6330
Be 0.0000 0.5000 0.3670
Zn 0.5000 0.5000 0.5000
Pt 0.0000 0.0000 0.5000
Pt 0.5000 0.0000 0.8743
Pt 0.0000 0.5000 0.1257

Summary:
* DFT total energy: -5.08 eV/atom
* total moment: 0.0 Bohr magnetons per cell
* calculated formation energy: -0.731 eV per atom

***

Below is a relaxed structure of Dy2Be2ZnPt5, with properties calculated at the PBE level.

a b c (Å): 3.5066 9.4984 9.4984
angles (deg): 90.00 90.00 90.00
Element x y z (fractional)
Dy 0.0000 0.6780 0.1780
Dy 0.0000 0.3220 0.8220
Dy 0.0000 0.1780 0.3220
Dy 0.0000 0.8220 0.6780
Be 0.0000 0.1196 0.6196
Be 0.0000 0.8804 0.3804
Be 0.0000 0.6196 0.8804
Be 0.0000 0.3804 0.1196
Zn 0.0000 0.0000 0.0000
Zn 0.0000 0.5000 0.5000
Pt 0.5000 0.2129 0.0667
Pt 0.5000 0.7871 0.9333
Pt 0.5000 0.0667 0.7871
Pt 0.5000 0.7129 0.4333
Pt 0.5000 0.9333 0.2129
Pt 0.5000 0.2871 0.5667
Pt 0.5000 0.5667 0.7129
Pt 0.5000 0.4333 0.2871
Pt 0.5000 0.5000 0.0000
Pt 0.5000 0.0000 0.5000

Summary:
* DFT total energy: -5.78 eV/atom
* total moment: 0.0 Bohr magnetons per cell
* calculated formation energy: -0.970 eV per atom

***

Below is a relaxed structure of Dy2BeZnPt6, with properties calculated at the PBE level.

a b c (Å): 5.6002 7.5323 7.5323
angles (deg): 43.65 68.18 90.00
Element x y z (fractional)
Dy 0.7075 0.2924 0.5848
Dy 0.2925 0.7076 0.4152
Be 0.5000 0.5000 0.0000
Zn 0.0000 0.0000 0.0000
Pt 0.2589 0.2325 0.4816
Pt 0.7673 0.7409 0.9733
Pt 0.2590 0.7407 0.9732
Pt 0.7410 0.2593 0.0268
Pt 0.2327 0.2591 0.0267
Pt 0.7411 0.7675 0.5184

Summary:
* DFT total energy: -5.87 eV/atom
* total moment: 0.0 Bohr magnetons per cell
* calculated formation energy: -0.824 eV per atom